InRe2WF | PBE+U | relaxed

Values from the calculation:
VASP energy: -4.48 eV per atom
Symmetry: No. 123
DOS(E_F): 6.35 states/eV per cell

a = 5.0745 Å, b = 5.4461 Å, c = 5.0745 Å
α = 90.00°, β = 90.00°, γ = 90.00°
Fractional coordinates of all 5 atoms:
Re 0.0000 0.0000 0.5000
Re 0.5000 0.0000 0.0000
F 0.5000 0.5000 0.5000
W 0.0000 0.5000 0.0000
In 0.0000 0.0000 0.0000